LiZrFe GGA-PBE optimized geometry; space-group type = F-43m, No. 216; total magnetic moment = 0.859 μB/f.u.; N(E_F) = 3.98 states/eV/f.u.; polymorph energy (0 for the lowest one) = 388 meV per atom; DFT formation energy = 57 kJ/mol of atoms
1.0
0.0000 3.0052 3.0052
3.0052 0.0000 3.0052
3.0052 3.0052 0.0000
Li Zr Fe
1 1 1
Direct
0.0000 0.0000 0.0000 Li
0.5000 0.5000 0.5000 Zr
0.7500 0.7500 0.7500 Fe